Here is an optimized crystal structure of Ti2CrRhN from the Alexandria database. Energies are from PBE.

a b c (Å): 4.1605 4.1605 3.7069
angles (deg): 90.00 90.00 90.00
Element x y z (fractional)
Ti 0.0000 0.5000 0.0000
Ti 0.5000 0.0000 0.0000
Cr 0.0000 0.0000 0.5000
Rh 0.5000 0.5000 0.5000
N 0.0000 0.0000 0.0000

Space group ... P4/mmm
Formation energy (no corrections) ... -0.831 eV/atom
Magnetization ... 0.096 μB per atom
VASP energy ... -9.050 eV per atom